This record from Alexandria describes a crystal of Sc2W3O12 relaxed with PBEsol. The functional is meta-GGA SCAN.

The value obtained for the formation energy without anion corrections is -2.7324 eV/atom. As for the energy relative to the lowest polymorph listed for this composition: 2.0 kJ per mole of atoms. As for the mass density: 6.76 g/cm³. As for the space group: No. 13.

a b c (Å): 5.7487 6.8932 10.8048
angles (deg): 107.13 90.00 90.00
Fractional coordinates of all 34 atoms:
Sc1 0.3345 0.3130 0.9041
Sc2 0.3345 0.6870 0.5959
Sc3 0.6655 0.6870 0.0959
Sc4 0.6655 0.3130 0.4041
W1 0.8251 0.8347 0.4285
W2 0.8186 0.5000 0.7500
W3 0.8251 0.1653 0.0715
W4 0.1749 0.1653 0.5715
W5 0.1749 0.8347 0.9285
W6 0.1814 0.5000 0.2500
O1 0.9049 0.9705 0.5946
O2 0.8853 0.6437 0.9300
O3 0.8927 0.3095 0.2561
O4 0.9049 0.0295 0.9054
O5 0.8927 0.6905 0.2439
O6 0.8853 0.3563 0.5700
O7 0.1073 0.6905 0.7439
O8 0.1147 0.3563 0.0700
O9 0.0951 0.0295 0.4054
O10 0.1147 0.6437 0.4300
O11 0.1073 0.3095 0.7561
O12 0.0951 0.9705 0.0946
O13 0.6190 0.3299 0.7889
O14 0.6312 0.9880 0.1103
O15 0.6304 0.6398 0.4577
O16 0.6304 0.3602 0.0423
O17 0.6312 0.0120 0.3897
O18 0.6190 0.6701 0.7111
O19 0.3810 0.6701 0.2111
O20 0.3696 0.3602 0.5423
O21 0.3688 0.0120 0.8897
O22 0.3696 0.6398 0.9577
O23 0.3810 0.3299 0.2889
O24 0.3688 0.9880 0.6103